DFT (GGA-PBE) results for a geometry-optimized Nb2Ir2O5 structure.

Cell: 8.2364 3.4223 3.4223 Å, 90.00 90.00 90.00°
With the nearest neighbours (Å) after each atom.
Atoms (fractional coordinates):
Ir  0.1588  0.5000  0.5000  4 O 2.13
Ir  0.8412  0.5000  0.5000  4 O 2.13
Nb  0.0000  0.0000  0.0000  8 Ir 2.75
Nb  0.5000  0.0000  0.0000  12 O 2.31-2.42
O  0.3120  0.5000  0.0000  2 Ir 2.13, 2 O 2.31, 2 Nb 2.31
O  0.6880  0.5000  0.0000  2 Ir 2.13, 2 O 2.31, 2 Nb 2.31
O  0.3120  0.0000  0.5000  2 Ir 2.13, 2 O 2.31, 2 Nb 2.31
O  0.6880  0.0000  0.5000  2 Ir 2.13, 2 O 2.31, 2 Nb 2.31
O  0.5000  0.5000  0.5000  8 O 2.31, 4 Nb 2.42

## Properties
- Polymorph energy (0 for the lowest one): 0 meV/atom
- Calculated total energy: -7.549 eV per atom
- Space group: P4/mmm (123)
- Total moment: 0.0 μB/f.u.

DFT (GGA-PBE) results for a geometry-optimized NbIrO3 structure.

Cell: 4.9758 9.3747 4.9350 Å, 90.00 90.00 90.00°
With the nearest neighbours (Å) after each atom.
Atoms (fractional coordinates):
Ir  0.0000  0.0000  0.0000  4 O 2.07
Ir  0.0000  0.5000  0.0000  4 O 2.07
Ir  0.5000  0.0000  0.5000  4 O 2.07
Ir  0.5000  0.5000  0.5000  4 O 2.07
Nb  0.6262  0.2500  0.0378  4 O 1.93-2.16
Nb  0.1262  0.2500  0.4622  4 O 1.93-2.16
Nb  0.8738  0.7500  0.5378  4 O 1.93-2.16
Nb  0.3738  0.7500  0.9622  4 O 1.93-2.16
O  0.3181  0.1060  0.1814  2 Ir 2.07, 2 Nb 2.16
O  0.3181  0.3940  0.1814  2 Ir 2.07, 2 Nb 2.16
O  0.0570  0.7500  0.1865  2 Nb 1.93-1.96
O  0.5569  0.7500  0.3135  2 Nb 1.93-1.96
O  0.8181  0.1060  0.3186  2 Ir 2.07, 2 Nb 2.16
O  0.8181  0.3940  0.3186  2 Ir 2.07, 2 Nb 2.16
O  0.1819  0.6060  0.6814  2 Ir 2.07, 2 Nb 2.16
O  0.1819  0.8940  0.6814  2 Ir 2.07, 2 Nb 2.16
O  0.4431  0.2500  0.6865  2 Nb 1.93-1.96
O  0.9431  0.2500  0.8135  2 Nb 1.93-1.96
O  0.6819  0.6060  0.8186  2 Ir 2.07, 2 Nb 2.16
O  0.6819  0.8940  0.8186  2 Ir 2.07, 2 Nb 2.16

## Properties
- Calculated total energy: -7.976 eV per atom
- Space group: Pnma (62)
- Total moment: 0.0 μB/f.u.

DFT (GGA-PBE) results for a geometry-optimized NbIr6Os structure.

Cell: 5.5543 5.5543 4.4368 Å, 90.00 90.00 120.00°
With the nearest neighbours (Å) after each atom.
Atoms (fractional coordinates):
Ir  0.1706  0.3412  0.0000  8 Ir 2.71-2.84, 2 Nb 2.76, 2 Os 2.78
Ir  0.6588  0.8294  0.0000  8 Ir 2.71-2.84, 2 Nb 2.76, 2 Os 2.78
Ir  0.1706  0.8294  0.0000  8 Ir 2.71-2.84, 2 Nb 2.76, 2 Os 2.78
Ir  0.5026  0.0053  0.5000  2 Os 2.72, 8 Ir 2.73-2.82, 2 Nb 2.78
Ir  0.9947  0.4974  0.5000  2 Os 2.72, 8 Ir 2.73-2.82, 2 Nb 2.78
Ir  0.5026  0.4974  0.5000  2 Os 2.72, 8 Ir 2.73-2.82, 2 Nb 2.78
Nb  0.0000  0.0000  0.5000  12 Ir 2.76-2.78
Os  0.6667  0.3333  0.0000  12 Ir 2.72-2.78

## Properties
- Calculated total energy: -9.581 eV per atom
- Space group: P-6m2 (187)
- E_form: -2.199 eV/f.u.
- Total moment: 0.0 μB/f.u.

Q: What is the calculated total energy in the first record?
A: -7.549 eV per atom

Q: What is the formula in the third record?
A: NbIr6Os